Arrangement a

YHoTh3 | PBE | optimized geometry

a b c (Å): 3.508 8.788 8.789
angles (deg): 139.78 88.37 88.37
Atoms (fractional coordinates):
Th 0.000 0.222 0.778
Th 0.717 0.125 0.363
Th 0.283 0.637 0.875
Y 0.500 0.053 0.947
Ho 0.000 0.591 0.409

Output
Total moment = 0.00 μB/atom

***

Arrangement b

YHoTh3 | PBE | optimized geometry

a b c (Å): 7.391 7.391 7.391
angles (deg): 70.22 70.22 70.22
Atoms (fractional coordinates):
Th 0.234 0.032 0.515
Th 0.766 0.968 0.485
Th 0.032 0.515 0.234
Th 0.968 0.485 0.766
Th 0.515 0.234 0.032
Th 0.485 0.766 0.968
Ho 0.906 0.906 0.906
Ho 0.094 0.094 0.094
Y 0.589 0.589 0.589
Y 0.411 0.411 0.411

Output
Total moment = 0.00 μB/atom

***

It is arrangement a that is the most stable of them.

***

Arrangement a

YHo7Th3 | PBE | optimized geometry

a b c (Å): 8.507 7.052 7.052
angles (deg): 120.00 90.00 90.00
Atoms (fractional coordinates):
Ho 0.451 0.832 0.168
Ho 0.451 0.832 0.664
Ho 0.112 0.667 0.333
Ho 0.114 0.665 0.832
Ho 0.451 0.336 0.168
Ho 0.114 0.168 0.335
Ho 0.114 0.168 0.832
Th 0.784 0.500 0.500
Th 0.784 0.500 0.001
Th 0.784 0.999 0.500
Y 0.454 0.333 0.667

Output
Total moment = 0.00 μB/atom

***

Arrangement b

YHo7Th3 | PBE | optimized geometry

a b c (Å): 6.677 6.428 8.598
angles (deg): 82.76 101.25 83.35
Atoms (fractional coordinates):
Ho 0.268 0.992 0.575
Ho 0.732 0.008 0.425
Ho 0.771 0.709 0.795
Ho 0.229 0.291 0.205
Ho 0.286 0.571 0.856
Ho 0.714 0.429 0.144
Ho 0.000 0.500 0.500
Th 0.500 0.000 0.000
Th 0.053 0.822 0.165
Th 0.947 0.178 0.835
Y 0.500 0.500 0.500

Output
Total moment = 0.00 μB/atom

***

It is arrangement b that is the most stable of them.

***

Arrangement a

Y3Ho4Th2 | PBE | optimized geometry

a b c (Å): 5.775 6.341 9.359
angles (deg): 116.10 107.97 90.00
Atoms (fractional coordinates):
Ho 0.440 0.620 0.879
Ho 0.230 0.325 0.460
Ho 0.560 0.380 0.121
Ho 0.770 0.675 0.540
Y 0.000 0.000 0.000
Y 0.124 0.682 0.249
Y 0.876 0.318 0.751
Th 0.355 0.989 0.710
Th 0.645 0.011 0.290

Output
Total moment = 0.00 μB/atom

***

Arrangement b

Y3Ho4Th2 | PBE | optimized geometry

a b c (Å): 6.117 9.981 9.981
angles (deg): 71.57 83.91 83.91
Atoms (fractional coordinates):
Y 0.415 0.274 0.060
Y 0.915 0.060 0.274
Y 0.585 0.726 0.940
Y 0.250 0.391 0.609
Y 0.085 0.940 0.726
Y 0.750 0.609 0.391
Ho 0.847 0.419 0.147
Ho 0.981 0.186 0.913
Ho 0.481 0.913 0.186
Ho 0.153 0.581 0.853
Ho 0.653 0.853 0.581
Ho 0.519 0.087 0.814
Ho 0.019 0.814 0.087
Ho 0.347 0.147 0.419
Th 0.811 0.249 0.525
Th 0.311 0.525 0.249
Th 0.189 0.751 0.475
Th 0.689 0.475 0.751

Output
Total moment = 0.00 μB/atom

***

It is arrangement b that is the most stable of them.